Entry 1:
# BaPaCrO6

BaPaCrO6 after structural relaxation (PBE+U, Alexandria).

Lattice parameters (Å, degrees): 5.704 5.704 4.820 90.00 90.00 120.00
Positions (direct):
Ba  0.000  0.000  0.000
Pa  0.667  0.333  0.500
Cr  0.333  0.667  0.000
O  0.021  0.422  0.244
O  0.021  0.599  0.756
O  0.401  0.422  0.756
O  0.401  0.979  0.244
O  0.578  0.599  0.244
O  0.578  0.979  0.756

Results
SG: P312
Total energy in eV per atom: -7.6802

=====

Entry 2:
# Ba2PaCr3O12

Ba2PaCr3O12 after structural relaxation (PBE+U, Alexandria).

Lattice parameters (Å, degrees): 7.266 7.266 7.266 57.95 57.95 57.95
Positions (direct):
Ba  0.131  0.131  0.131
Ba  0.869  0.869  0.869
Pa  0.500  0.500  0.500
Cr  0.000  0.500  0.500
Cr  0.500  0.000  0.500
Cr  0.500  0.500  0.000
O  0.125  0.601  0.601
O  0.206  0.206  0.578
O  0.206  0.578  0.206
O  0.399  0.399  0.875
O  0.399  0.875  0.399
O  0.422  0.794  0.794
O  0.578  0.206  0.206
O  0.601  0.125  0.601
O  0.601  0.601  0.125
O  0.794  0.422  0.794
O  0.794  0.794  0.422
O  0.875  0.399  0.399

Results
SG: R-3m
Total energy in eV per atom: -7.2931

=====

- total energy of number 1 (BaPaCrO6)?
  -7.6802 eV per atom